No. 1
Entry from the Alexandria database: a geometry-optimized Fe2HgPb structure (GGA-PBE).

Unit cell a=4.6402 b=4.6402 c=4.6402 alpha=60.00 beta=60.00 gamma=60.00
Fractional coordinates of all 4 atoms:
Fe 0.2500 0.2500 0.2500
Fe 0.7500 0.7500 0.7500
Hg 0.0000 0.0000 0.0000
Pb 0.5000 0.5000 0.5000

Computed properties:
Crystal system: cubic
Energy relative to the lowest polymorph listed for this composition in meV per atom: 264
Energy of formation in kJ/mol of formula units: 240.3
Space group: Fm-3m
N(E_F) in states/eV per atom: 1.366

No. 2
Entry from the Alexandria database: a geometry-optimized Fe2HgPb structure (GGA-PBE).

Unit cell a=9.1047 b=9.1047 c=9.1047 alpha=19.71 beta=19.71 gamma=19.71
Fractional coordinates of all 4 atoms:
Fe 0.2478 0.2478 0.2478
Fe 0.7522 0.7522 0.7522
Hg 0.5000 0.5000 0.5000
Pb 0.0000 0.0000 0.0000

Computed properties:
Crystal system: trigonal
Energy relative to the lowest polymorph listed for this composition in meV per atom: 296
Energy of formation in kJ/mol of formula units: 252.6
Space group: R-3m
N(E_F) in states/eV per atom: 1.054

No. 3
Entry from the Alexandria database: a geometry-optimized FeHgPdPb2 structure (GGA-PBE).

Unit cell a=5.1211 b=5.1211 c=4.8261 alpha=90.00 beta=90.00 gamma=90.00
Fractional coordinates of all 5 atoms:
Fe 0.0000 0.0000 0.0000
Hg 0.5000 0.5000 0.5000
Pd 0.0000 0.0000 0.5000
Pb 0.0000 0.5000 0.0000
Pb 0.5000 0.0000 0.0000

Computed properties:
Crystal system: tetragonal
Energy of formation in kJ/mol of formula units: 209.2
Space group: P4/mmm
N(E_F) in states/eV per atom: 0.698

No. 4
Entry from the Alexandria database: a geometry-optimized Fe2HgRhPb structure (GGA-PBE).

Unit cell a=4.7974 b=4.7974 c=5.1205 alpha=90.00 beta=90.00 gamma=90.00
Fractional coordinates of all 5 atoms:
Fe 0.0000 0.5000 0.0000
Fe 0.5000 0.0000 0.0000
Hg 0.0000 0.0000 0.5000
Rh 0.5000 0.5000 0.0000
Pb 0.5000 0.5000 0.5000

Computed properties:
Crystal system: tetragonal
Energy of formation in kJ/mol of formula units: 390.3
Space group: P4/mmm
N(E_F) in states/eV per atom: 1.394

No. 5
Entry from the Alexandria database: a geometry-optimized Fe2SnHgPb structure (GGA-PBE).

Unit cell a=4.9634 b=4.9634 c=5.6295 alpha=90.00 beta=90.00 gamma=90.00
Fractional coordinates of all 5 atoms:
Fe 0.0000 0.5000 0.0000
Fe 0.5000 0.0000 0.0000
Sn 0.0000 0.0000 0.5000
Hg 0.5000 0.5000 0.0000
Pb 0.5000 0.5000 0.5000

Computed properties:
Crystal system: tetragonal
Energy of formation in kJ/mol of formula units: 565.1
Space group: P4/mmm
N(E_F) in states/eV per atom: 1.551

No. 6
Entry from the Alexandria database: a geometry-optimized SrFeHg2Pb structure (GGA-PBE).

Unit cell a=5.7654 b=5.7654 c=5.1034 alpha=90.00 beta=90.00 gamma=90.00
Fractional coordinates of all 5 atoms:
Sr 0.0000 0.0000 0.0000
Fe 0.5000 0.5000 0.0000
Hg 0.0000 0.5000 0.5000
Hg 0.5000 0.0000 0.5000
Pb 0.5000 0.5000 0.5000

Computed properties:
Crystal system: tetragonal
Energy of formation in kJ/mol of formula units: 215.8
Space group: P4/mmm
N(E_F) in states/eV per atom: 1.221

No. 7
Entry from the Alexandria database: a geometry-optimized TiFeHgPb2 structure (GGA-PBE).

Unit cell a=5.1215 b=5.1215 c=4.4897 alpha=90.00 beta=90.00 gamma=90.00
Fractional coordinates of all 5 atoms:
Ti 0.0000 0.0000 0.0000
Fe 0.0000 0.0000 0.5000
Hg 0.5000 0.5000 0.0000
Pb 0.0000 0.5000 0.5000
Pb 0.5000 0.0000 0.5000

Computed properties:
Crystal system: tetragonal
Energy of formation in kJ/mol of formula units: 173.8
Space group: P4/mmm
N(E_F) in states/eV per atom: 1.240

No. 8
Entry from the Alexandria database: a geometry-optimized YFeHg2Pb structure (GGA-PBE).

Unit cell a=5.7549 b=5.7549 c=4.8531 alpha=90.00 beta=90.00 gamma=90.00
Fractional coordinates of all 5 atoms:
Y 0.0000 0.0000 0.0000
Fe 0.0000 0.0000 0.5000
Hg 0.0000 0.5000 0.0000
Hg 0.5000 0.0000 0.0000
Pb 0.5000 0.5000 0.5000

Computed properties:
Crystal system: tetragonal
Energy of formation in kJ/mol of formula units: 386.3
Space group: P4/mmm
N(E_F) in states/eV per atom: 0.968

No. 9
Entry from the Alexandria database: a geometry-optimized Fe4HgPd15 structure (GGA-PBE).

Unit cell a=3.9291 b=3.9291 c=19.5783 alpha=90.00 beta=90.00 gamma=90.00
Fractional coordinates of all 20 atoms:
Fe 0.0000 0.0000 0.0985
Fe 0.0000 0.0000 0.2969
Fe 0.0000 0.0000 0.7031
Fe 0.0000 0.0000 0.9015
Hg 0.0000 0.0000 0.5000
Pd 0.0000 0.5000 0.0000
Pd 0.0000 0.5000 0.1955
Pd 0.0000 0.5000 0.3904
Pd 0.0000 0.5000 0.6096
Pd 0.0000 0.5000 0.8045
Pd 0.5000 0.0000 0.0000
Pd 0.5000 0.0000 0.1955
Pd 0.5000 0.0000 0.3904
Pd 0.5000 0.0000 0.6096
Pd 0.5000 0.0000 0.8045
Pd 0.5000 0.5000 0.0979
Pd 0.5000 0.5000 0.2931
Pd 0.5000 0.5000 0.5000
Pd 0.5000 0.5000 0.7069
Pd 0.5000 0.5000 0.9021

Computed properties:
Crystal system: tetragonal
Energy of formation in kJ/mol of formula units: -203.7
Space group: P4/mmm
N(E_F) in states/eV per atom: 0.730

No. 10
Entry from the Alexandria database: a geometry-optimized Fe2HgPd2 structure (GGA-PBE).

Unit cell a=7.4886 b=7.4886 c=2.8146 alpha=90.00 beta=90.00 gamma=90.00
Fractional coordinates of all 10 atoms:
Fe 0.1130 0.3870 0.0000
Fe 0.3870 0.8870 0.0000
Fe 0.6130 0.1130 0.0000
Fe 0.8870 0.6130 0.0000
Hg 0.0000 0.0000 0.0000
Hg 0.5000 0.5000 0.0000
Pd 0.1780 0.6780 0.5000
Pd 0.3220 0.1780 0.5000
Pd 0.6780 0.8220 0.5000
Pd 0.8220 0.3220 0.5000

Computed properties:
Crystal system: tetragonal
Energy relative to the lowest polymorph listed for this composition in meV per atom: 5
Energy of formation in kJ/mol of formula units: 56.6
Space group: P4/mbm
N(E_F) in states/eV per atom: 0.583

No. 11
Entry from the Alexandria database: a geometry-optimized Fe2HgPd2 structure (GGA-PBE).

Unit cell a=7.5419 b=7.5419 c=2.7862 alpha=90.00 beta=90.00 gamma=90.00
Fractional coordinates of all 10 atoms:
Fe 0.1629 0.3371 0.0000
Fe 0.3371 0.8371 0.0000
Fe 0.6629 0.1629 0.0000
Fe 0.8371 0.6629 0.0000
Hg 0.0000 0.0000 0.5000
Hg 0.5000 0.5000 0.5000
Pd 0.1316 0.6316 0.5000
Pd 0.3684 0.1316 0.5000
Pd 0.6316 0.8684 0.5000
Pd 0.8684 0.3684 0.5000

Computed properties:
Crystal system: tetragonal
Energy relative to the lowest polymorph listed for this composition in meV per atom: 0
Energy of formation in kJ/mol of formula units: 54.3
Space group: P4/mbm
N(E_F) in states/eV per atom: 0.618

No. 12
Entry from the Alexandria database: a geometry-optimized FeHg2Pd structure (GGA-PBE).

Unit cell a=4.6323 b=4.6323 c=4.6323 alpha=60.00 beta=60.00 gamma=60.00
Fractional coordinates of all 4 atoms:
Fe 0.0000 0.0000 0.0000
Hg 0.2500 0.2500 0.2500
Hg 0.7500 0.7500 0.7500
Pd 0.5000 0.5000 0.5000

Computed properties:
Crystal system: cubic
Energy relative to the lowest polymorph listed for this composition in meV per atom: 0
Energy of formation in kJ/mol of formula units: 87.5
Space group: Fm-3m
N(E_F) in states/eV per atom: 1.043

No. 13
Entry from the Alexandria database: a geometry-optimized Fe3HgPd12 structure (GGA-PBE).

Unit cell a=3.9355 b=3.9355 c=15.7309 alpha=90.00 beta=90.00 gamma=90.00
Fractional coordinates of all 16 atoms:
Fe 0.0000 0.0000 0.0000
Fe 0.0000 0.0000 0.2472
Fe 0.0000 0.0000 0.7528
Hg 0.0000 0.0000 0.5000
Pd 0.0000 0.5000 0.1213
Pd 0.0000 0.5000 0.3635
Pd 0.0000 0.5000 0.6365
Pd 0.0000 0.5000 0.8787
Pd 0.5000 0.0000 0.1213
Pd 0.5000 0.0000 0.3635
Pd 0.5000 0.0000 0.6365
Pd 0.5000 0.0000 0.8787
Pd 0.5000 0.5000 0.0000
Pd 0.5000 0.5000 0.2425
Pd 0.5000 0.5000 0.5000
Pd 0.5000 0.5000 0.7575

Computed properties:
Crystal system: tetragonal
Energy of formation in kJ/mol of formula units: -155.4
Space group: P4/mmm
N(E_F) in states/eV per atom: 0.946

No. 14
Entry from the Alexandria database: a geometry-optimized FeHg2Pd8 structure (GGA-PBE).

Unit cell a=7.6769 b=7.6769 c=7.6769 alpha=145.51 beta=133.33 gamma=59.31
Fractional coordinates of all 11 atoms:
Fe 0.0000 0.0000 0.0000
Hg 0.3129 0.3129 0.0000
Hg 0.6871 0.6871 0.0000
Pd 0.1276 0.8620 0.2656
Pd 0.1722 0.6722 0.5000
Pd 0.2528 0.5000 0.7528
Pd 0.4035 0.1380 0.2656
Pd 0.5965 0.8620 0.7344
Pd 0.7472 0.5000 0.2472
Pd 0.8278 0.3278 0.5000
Pd 0.8724 0.1380 0.7344

Computed properties:
Crystal system: orthorhombic
Energy relative to the lowest polymorph listed for this composition in meV per atom: 0
Energy of formation in kJ/mol of formula units: -20.7
Space group: Immm
N(E_F) in states/eV per atom: 0.540

No. 15
Entry from the Alexandria database: a geometry-optimized FeHg2Pd8 structure (GGA-PBE).

Unit cell a=6.7010 b=6.7010 c=4.9180 alpha=104.26 beta=104.26 gamma=79.68
Fractional coordinates of all 11 atoms:
Fe 0.0000 0.0000 0.0000
Hg 0.1586 0.1586 0.5235
Hg 0.8414 0.8414 0.4765
Pd 0.1589 0.6852 0.1913
Pd 0.2734 0.2734 0.1003
Pd 0.3148 0.8411 0.8087
Pd 0.4337 0.4337 0.7049
Pd 0.5663 0.5663 0.2951
Pd 0.6852 0.1589 0.1913
Pd 0.7266 0.7266 0.8997
Pd 0.8411 0.3148 0.8087

Computed properties:
Crystal system: monoclinic
Energy relative to the lowest polymorph listed for this composition in meV per atom: 258
Energy of formation in kJ/mol of formula units: 253.0
Space group: C2/m
N(E_F) in states/eV per atom: 0.827

No. 16
Entry from the Alexandria database: a geometry-optimized FeHgPd4 structure (GGA-PBE).

Unit cell a=2.9699 b=2.9699 c=10.8020 alpha=90.00 beta=90.00 gamma=90.00
Fractional coordinates of all 6 atoms:
Fe 0.0000 0.0000 0.0000
Hg 0.5000 0.5000 0.5000
Pd 0.0000 0.0000 0.3187
Pd 0.0000 0.0000 0.6813
Pd 0.5000 0.5000 0.1441
Pd 0.5000 0.5000 0.8559

Computed properties:
Crystal system: tetragonal
Energy relative to the lowest polymorph listed for this composition in meV per atom: 0
Energy of formation in kJ/mol of formula units: -49.9
Space group: P4/mmm
N(E_F) in states/eV per atom: 0.581

No. 17
Entry from the Alexandria database: a geometry-optimized Fe2HgPd9 structure (GGA-PBE).

Unit cell a=3.9507 b=3.9507 c=11.8320 alpha=90.00 beta=90.00 gamma=90.00
Fractional coordinates of all 12 atoms:
Fe 0.0000 0.0000 0.1651
Fe 0.0000 0.0000 0.8349
Hg 0.0000 0.0000 0.5000
Pd 0.0000 0.5000 0.0000
Pd 0.0000 0.5000 0.3196
Pd 0.0000 0.5000 0.6804
Pd 0.5000 0.0000 0.0000
Pd 0.5000 0.0000 0.3196
Pd 0.5000 0.0000 0.6804
Pd 0.5000 0.5000 0.1598
Pd 0.5000 0.5000 0.5000
Pd 0.5000 0.5000 0.8402

Computed properties:
Crystal system: tetragonal
Energy of formation in kJ/mol of formula units: -116.2
Space group: P4/mmm
N(E_F) in states/eV per atom: 1.119

No. 18
Entry from the Alexandria database: a geometry-optimized FeHgPd4 structure (GGA-PBE).

Unit cell a=4.8754 b=4.8754 c=4.8435 alpha=98.76 beta=98.76 gamma=119.99
Fractional coordinates of all 6 atoms:
Fe 0.0000 0.0000 0.0000
Hg 0.5000 0.5000 0.5000
Pd 0.1624 0.8376 0.5000
Pd 0.3310 0.6690 0.0000
Pd 0.6690 0.3310 0.0000
Pd 0.8376 0.1624 0.5000

Computed properties:
Crystal system: monoclinic
Energy relative to the lowest polymorph listed for this composition in meV per atom: 37
Energy of formation in kJ/mol of formula units: -28.5
Space group: C2/m
N(E_F) in states/eV per atom: 0.753

No. 19
Entry from the Alexandria database: a geometry-optimized FeHg2Pd structure (GGA-PBE).

Unit cell a=10.2222 b=10.2222 c=10.2222 alpha=157.36 beta=157.36 gamma=32.24
Fractional coordinates of all 8 atoms:
Fe 0.0000 0.0000 0.0000
Fe 0.7500 0.2500 0.5000
Hg 0.1244 0.6250 0.9994
Hg 0.3750 0.3744 0.4994
Hg 0.6256 0.1250 0.0006
Hg 0.8750 0.8756 0.5006
Pd 0.2500 0.7500 0.5000
Pd 0.5000 0.5000 0.0000

Computed properties:
Crystal system: tetragonal
Energy relative to the lowest polymorph listed for this composition in meV per atom: 194
Energy of formation in kJ/mol of formula units: 162.5
Space group: I-42d
N(E_F) in states/eV per atom: 0.722

No. 20
Entry from the Alexandria database: a geometry-optimized FeHg2Pd9 structure (GGA-PBE).

Unit cell a=4.0001 b=4.0001 c=12.0186 alpha=90.00 beta=90.00 gamma=90.00
Fractional coordinates of all 12 atoms:
Fe 0.0000 0.0000 0.0000
Hg 0.0000 0.0000 0.3287
Hg 0.0000 0.0000 0.6713
Pd 0.0000 0.5000 0.1533
Pd 0.0000 0.5000 0.5000
Pd 0.0000 0.5000 0.8467
Pd 0.5000 0.0000 0.1533
Pd 0.5000 0.0000 0.5000
Pd 0.5000 0.0000 0.8467
Pd 0.5000 0.5000 0.0000
Pd 0.5000 0.5000 0.3253
Pd 0.5000 0.5000 0.6747

Computed properties:
Crystal system: tetragonal
Energy of formation in kJ/mol of formula units: -113.8
Space group: P4/mmm
N(E_F) in states/eV per atom: 1.298

Number 1: spin magnetization 1.21 μB per atom. Number 2: spin magnetization 1.39 μB per atom. Number 3: spin magnetization 0.45 μB per atom. Number 4: spin magnetization 1.43 μB per atom. Number 5: spin magnetization 1.19 μB per atom. Number 6: spin magnetization 0.54 μB per atom. Number 7: spin magnetization 0.02 μB per atom. Number 8: spin magnetization 0.42 μB per atom. Number 9: spin magnetization 0.84 μB per atom. Number 10: spin magnetization 1.30 μB per atom. Number 11: spin magnetization 1.34 μB per atom. Number 12: spin magnetization 0.72 μB per atom. Number 13: spin magnetization 0.82 μB per atom. Number 14: spin magnetization 0.42 μB per atom. Number 15: spin magnetization 0.40 μB per atom. Number 16: spin magnetization 0.67 μB per atom. Number 17: spin magnetization 0.73 μB per atom. Number 18: spin magnetization 0.62 μB per atom. Number 19: spin magnetization 0.79 μB per atom. Number 20: spin magnetization 0.38 μB per atom.